TbPaMn2O8 | Alexandria | GGA+U | relaxed; V = 12.45 Å³ per atom; mass density = 6.98 g cm⁻³; total DFT energy (no corrections) = -8.05 eV per atom
1.0
-2.578 2.578 5.622
2.578 -2.578 5.622
2.578 2.578 -5.622
Tb Pa Mn O
1 1 2 8
Direct
0.000 0.000 0.000
0.750 0.250 0.500
0.250 0.750 0.500
0.500 0.500 0.000
0.000 0.966 0.614
0.034 0.649 0.034
0.182 0.256 0.596
0.351 0.386 0.386
0.414 0.818 0.075
0.614 0.000 0.966
0.661 0.586 0.404
0.744 0.339 0.925